## Tl3Cr2BiO8 (PBE+U)

Data for Tl3Cr2BiO8 after structural relaxation.

a b c (Å): 6.070 6.070 7.844
angles (deg): 90.00 90.00 120.00
Sites, in units of the cell vectors:
Tl 0.000 0.000 0.000
Tl 0.333 0.667 0.700
Tl 0.667 0.333 0.300
Cr 0.333 0.667 0.238
Cr 0.667 0.333 0.762
Bi 0.000 0.000 0.500
O 0.176 0.351 0.312
O 0.176 0.824 0.312
O 0.333 0.667 0.025
O 0.351 0.176 0.688
O 0.649 0.824 0.312
O 0.667 0.333 0.975
O 0.824 0.176 0.688
O 0.824 0.649 0.688

Results
Raw total energy (eV/atom): -5.791
Volume (A^3/atom): 17.88